# GGA-PBEsol MgBi2F, optimized geometry
data_MgBi2F
_space_group_name_H-M_alt 'P 1'
_space_group_IT_number 1
_space_group_name_Hall 'P 1'
_cell_length_a 4.966
_cell_length_b 4.966
_cell_length_c 4.966
_cell_angle_alpha 60.00
_cell_angle_beta 60.00
_cell_angle_gamma 60.00
loop_
_atom_site_label
_atom_site_fract_x
_atom_site_fract_y
_atom_site_fract_z
Mg1 0.000 0.000 0.000
Bi1 0.250 0.250 0.250
Bi2 0.750 0.750 0.750
F1 0.500 0.500 0.500
# Formation energy (no corrections) (eV/atom): -0.642

***

# GGA-PBEsol MgBiO2F, optimized geometry
data_MgBiO2F
_space_group_name_H-M_alt 'P 1'
_space_group_IT_number 1
_space_group_name_Hall 'P 1'
_cell_length_a 4.432
_cell_length_b 4.432
_cell_length_c 4.405
_cell_angle_alpha 90.00
_cell_angle_beta 90.00
_cell_angle_gamma 90.00
loop_
_atom_site_label
_atom_site_fract_x
_atom_site_fract_y
_atom_site_fract_z
Mg1 0.000 0.000 0.000
Bi1 0.500 0.500 0.500
O1 0.000 0.500 0.500
O2 0.500 0.000 0.500
F1 0.500 0.500 0.000
# Formation energy (no corrections) (eV/atom): -1.121

***

# GGA-PBEsol MnBiNF2, optimized geometry
data_MnBiNF2
_space_group_name_H-M_alt 'P 1'
_space_group_IT_number 1
_space_group_name_Hall 'P 1'
_cell_length_a 4.462
_cell_length_b 4.462
_cell_length_c 4.460
_cell_angle_alpha 90.00
_cell_angle_beta 90.00
_cell_angle_gamma 90.00
loop_
_atom_site_label
_atom_site_fract_x
_atom_site_fract_y
_atom_site_fract_z
Mn1 0.000 0.000 0.000
Bi1 0.500 0.500 0.500
N1 0.500 0.500 0.000
F1 0.000 0.500 0.500
F2 0.500 0.000 0.500
# Formation energy (no corrections) (eV/atom): -0.186

***

# GGA-PBEsol Sn2BiMoF, optimized geometry
data_Sn2BiMoF
_space_group_name_H-M_alt 'P 1'
_space_group_IT_number 1
_space_group_name_Hall 'P 1'
_cell_length_a 5.855
_cell_length_b 5.855
_cell_length_c 5.332
_cell_angle_alpha 90.00
_cell_angle_beta 90.00
_cell_angle_gamma 90.00
loop_
_atom_site_label
_atom_site_fract_x
_atom_site_fract_y
_atom_site_fract_z
Sn1 0.000 0.500 0.000
Sn2 0.500 0.000 0.000
Bi1 0.000 0.000 0.000
Mo1 0.000 0.000 0.500
F1 0.500 0.500 0.500
# Formation energy (no corrections) (eV/atom): 1.219

***

# GGA-PBEsol Bi3NF, optimized geometry
data_Bi3NF
_space_group_name_H-M_alt 'P 1'
_space_group_IT_number 1
_space_group_name_Hall 'P 1'
_cell_length_a 4.961
_cell_length_b 4.961
_cell_length_c 4.961
_cell_angle_alpha 90.00
_cell_angle_beta 90.00
_cell_angle_gamma 90.00
loop_
_atom_site_label
_atom_site_fract_x
_atom_site_fract_y
_atom_site_fract_z
Bi1 0.000 0.000 0.500
Bi2 0.000 0.500 0.000
Bi3 0.500 0.000 0.000
N1 0.500 0.500 0.500
F1 0.000 0.000 0.000
# Formation energy (no corrections) (eV/atom): 0.775

***

# GGA-PBEsol BiNOF2, optimized geometry
data_BiNOF2
_space_group_name_H-M_alt 'P 1'
_space_group_IT_number 1
_space_group_name_Hall 'P 1'
_cell_length_a 4.448
_cell_length_b 4.448
_cell_length_c 4.141
_cell_angle_alpha 90.00
_cell_angle_beta 90.00
_cell_angle_gamma 90.00
loop_
_atom_site_label
_atom_site_fract_x
_atom_site_fract_y
_atom_site_fract_z
Bi1 0.000 0.000 0.000
N1 0.500 0.500 0.500
O1 0.000 0.000 0.500
F1 0.000 0.500 0.000
F2 0.500 0.000 0.000
# Formation energy (no corrections) (eV/atom): -0.250

***

The evaluated energy for the records listed, in turn: -14.8, -24.0, -27.4, -20.4, -19.4, -23.2 eV for the cell shown.